(1)
# OsRuSe3

A relaxed OsRuSe3 crystal (PBE-GGA, the Alexandria database).

Output
The value obtained for the offset from the most stable computed form is 0.0 meV per atom. The calculated total energy is -4.942 eV per atom. The calculated volume comes out at 22.85 Å³ per atom.

```
data_OsRuSe3
_chemical_formula_sum 'Os1 Ru1 Se3'
_cell_length_a 4.852
_cell_length_b 4.852
_cell_length_c 4.852
_cell_angle_alpha 90.00
_cell_angle_beta 90.00
_cell_angle_gamma 90.00
_space_group_name_H-M_alt 'P m -3 m'
_space_group_IT_number 221
_space_group_name_Hall '-P 4 2 3'
loop_
_atom_site_label
_atom_site_type_symbol
_atom_site_fract_x
_atom_site_fract_y
_atom_site_fract_z
_atom_site_occupancy
Os1 Os 0.000 0.000 0.000 1
Ru1 Ru 0.500 0.500 0.500 1
Se1 Se 0.000 0.000 0.500 1
```

(2)
# Os2RuSe

A relaxed Os2RuSe crystal (PBE-GGA, the Alexandria database).

Output
The calculated total energy is -8.371 eV per atom. The calculated volume comes out at 14.77 Å³ per atom.

```
data_Os2RuSe
_chemical_formula_sum 'Os4 Ru2 Se2'
_cell_length_a 3.920
_cell_length_b 2.856
_cell_length_c 10.553
_cell_angle_alpha 90.00
_cell_angle_beta 90.00
_cell_angle_gamma 90.00
_space_group_name_H-M_alt 'A m m 2'
_space_group_IT_number 38
loop_
_space_group_symop_operation_xyz
'x,y,z'
'-x,-y,z'
'-x,y,z'
'x,-y,z'
'x,y+1/2,z+1/2'
'-x,-y+1/2,z+1/2'
'-x,y+1/2,z+1/2'
'x,-y+1/2,z+1/2'
loop_
_atom_site_label
_atom_site_type_symbol
_atom_site_fract_x
_atom_site_fract_y
_atom_site_fract_z
_atom_site_occupancy
Os1 Os 0.000 0.000 0.000 1
Os2 Os 0.500 0.000 0.382 1
Ru1 Ru 0.500 0.000 0.633 1
Se1 Se 0.000 0.000 0.231 1
```

(3)
# OsRuSe2

A relaxed OsRuSe2 crystal (PBE-GGA, the Alexandria database).

Output
The value obtained for the offset from the most stable computed form is 379.0 meV per atom. The calculated total energy is -6.332 eV per atom. The calculated volume comes out at 15.42 Å³ per atom.

```
data_OsRuSe2
_chemical_formula_sum 'Os1 Ru1 Se2'
_cell_length_a 3.139
_cell_length_b 3.135
_cell_length_c 6.268
_cell_angle_alpha 90.00
_cell_angle_beta 90.10
_cell_angle_gamma 90.00
_space_group_name_H-M_alt 'P 1 2/m 1'
_space_group_IT_number 10
loop_
_space_group_symop_operation_xyz
'x,y,z'
'-x,-y,-z'
'-x,y,-z'
'x,-y,z'
loop_
_atom_site_label
_atom_site_type_symbol
_atom_site_fract_x
_atom_site_fract_y
_atom_site_fract_z
_atom_site_occupancy
Os1 Os 0.000 0.000 0.000 1
Ru1 Ru 0.000 0.000 0.500 1
Se1 Se 0.499 0.500 0.748 1
```

(4)
# Os3RuSe

A relaxed Os3RuSe crystal (PBE-GGA, the Alexandria database).

Output
The value obtained for the offset from the most stable computed form is 0.0 meV per atom. The calculated total energy is -7.236 eV per atom. The calculated volume comes out at 17.87 Å³ per atom.

```
data_Os3RuSe
_chemical_formula_sum 'Os3 Ru1 Se1'
_cell_length_a 4.470
_cell_length_b 4.470
_cell_length_c 4.470
_cell_angle_alpha 90.00
_cell_angle_beta 90.00
_cell_angle_gamma 90.00
_space_group_name_H-M_alt 'P m -3 m'
_space_group_IT_number 221
_space_group_name_Hall '-P 4 2 3'
loop_
_atom_site_label
_atom_site_type_symbol
_atom_site_fract_x
_atom_site_fract_y
_atom_site_fract_z
_atom_site_occupancy
Os1 Os 0.000 0.000 0.500 1
Ru1 Ru 0.500 0.500 0.500 1
Se1 Se 0.000 0.000 0.000 1
```

(5)
# OsRu3Se

A relaxed OsRu3Se crystal (PBE-GGA, the Alexandria database).

Output
The value obtained for the offset from the most stable computed form is 171.0 meV per atom. The calculated total energy is -6.749 eV per atom. The calculated volume comes out at 20.65 Å³ per atom.

```
data_OsRu3Se
_chemical_formula_sum 'Os1 Ru3 Se1'
_cell_length_a 4.691
_cell_length_b 4.691
_cell_length_c 4.691
_cell_angle_alpha 90.00
_cell_angle_beta 90.00
_cell_angle_gamma 90.00
_space_group_name_H-M_alt 'P m -3 m'
_space_group_IT_number 221
_space_group_name_Hall '-P 4 2 3'
loop_
_atom_site_label
_atom_site_type_symbol
_atom_site_fract_x
_atom_site_fract_y
_atom_site_fract_z
_atom_site_occupancy
Os1 Os 0.000 0.000 0.000 1
Ru1 Ru 0.000 0.000 0.500 1
Se1 Se 0.500 0.500 0.500 1
```

(6)
# Os2RuSe

A relaxed Os2RuSe crystal (PBE-GGA, the Alexandria database).

Output
The calculated total energy is -8.007 eV per atom. The calculated volume comes out at 15.64 Å³ per atom.

```
data_Os2RuSe
_chemical_formula_sum 'Os4 Ru2 Se2'
_cell_length_a 2.769
_cell_length_b 4.755
_cell_length_c 9.503
_cell_angle_alpha 90.00
_cell_angle_beta 90.00
_cell_angle_gamma 90.00
_space_group_name_H-M_alt 'C m m 2'
_space_group_IT_number 35
loop_
_space_group_symop_operation_xyz
'x,y,z'
'-x,-y,z'
'-x,y,z'
'x,-y,z'
'x+1/2,y+1/2,z'
'-x+1/2,-y+1/2,z'
'-x+1/2,y+1/2,z'
'x+1/2,-y+1/2,z'
loop_
_atom_site_label
_atom_site_type_symbol
_atom_site_fract_x
_atom_site_fract_y
_atom_site_fract_z
_atom_site_occupancy
Os1 Os 0.000 0.000 0.000 1
Os2 Os 0.000 0.500 0.234 1
Ru1 Ru 0.000 0.500 0.758 1
Se1 Se 0.000 0.000 0.523 1
```